1.
TaCu3N | PBE | optimized geometry

Cell and atoms, written as POSCAR:
```
TaCu3N
1.0
4.753 0.000 0.000
0.000 4.753 0.000
0.000 0.000 4.753
Ta Cu N
1 3 1
Cartesian
0.000 0.000 0.000 Ta
0.000 0.000 2.376 Cu
0.000 2.376 0.000 Cu
2.376 0.000 0.000 Cu
2.376 2.376 2.376 N
```

Summary:
excess energy over the best structure of this formula in the dataset: 1976 meV per atom
SG: Pm-3m
final energy: -3.787 eV per atom
ΔE_f (raw): 2.71 eV per atom
calculated volume: 107 Å³/cell



2.
Tl4SbAu | PBE | optimized geometry

Cell and atoms, written as POSCAR:
```
Tl4SbAu
1.0
0.000 4.503 4.503
4.503 0.000 4.503
4.503 4.503 0.000
Tl Sb Au
4 1 1
Cartesian
1.127 1.127 1.127 Tl
3.376 3.376 1.127 Tl
3.376 1.127 3.376 Tl
1.127 3.376 3.376 Tl
4.503 4.503 4.503 Sb
6.754 6.754 6.754 Au
```

Summary:
excess energy over the best structure of this formula in the dataset: 272 meV per atom
SG: F-43m
final energy: -2.526 eV per atom
ΔE_f (raw): 0.28 eV per atom
calculated volume: 183 Å³/cell